(1)
DFT (GGA-PBE) results for crystalline NaUAsO6 at its relaxed geometry. Values from VASP.

Cell and atoms, written as Quantum ESPRESSO input:
```
&SYSTEM
  ibrav = 0, nat = 18, ntyp = 4
/
ATOMIC_SPECIES
Na 22.99 Na.upf
U 238.03 U.upf
As 74.92 As.upf
O 16.00 O.upf
CELL_PARAMETERS angstrom
5.340 0.000 0.000
-2.670 4.624 0.000
0.000 0.000 10.218
ATOMIC_POSITIONS angstrom
Na 0.000 0.000 0.000
Na 0.000 0.000 5.109
U 0.000 3.083 2.555
U 2.670 1.541 7.664
As 0.000 3.083 7.664
As 2.670 1.541 2.555
O -0.852 1.787 6.614
O -1.548 2.993 8.714
O 0.852 1.787 8.714
O -0.696 4.468 6.614
O 1.974 0.156 1.504
O 1.122 1.632 3.605
O 1.548 2.993 6.614
O 0.696 4.468 8.714
O 3.366 0.156 3.605
O 1.818 2.837 1.504
O 4.218 1.632 1.504
O 3.522 2.837 3.605
```

Properties
D(E_F)	0.000	states/eV/f.u.
space-group type	P-31c
ΔE_f (raw)	-2.06	eV per atom
total DFT energy (no corrections)	-131.091	eV for the cell shown

(2)
DFT (GGA-PBE) results for crystalline Na2UAsO6 at its relaxed geometry. Values from VASP.

Cell and atoms, written as Quantum ESPRESSO input:
```
&SYSTEM
  ibrav = 0, nat = 10, ntyp = 4
/
ATOMIC_SPECIES
Na 22.99 Na.upf
U 238.03 U.upf
As 74.92 As.upf
O 16.00 O.upf
CELL_PARAMETERS angstrom
5.533 0.000 0.000
0.000 5.533 0.000
0.000 0.000 4.383
ATOMIC_POSITIONS angstrom
Na 0.000 2.767 0.000
Na 2.767 0.000 0.000
U 0.000 0.000 2.479
As 2.767 2.767 2.189
O 0.000 0.000 0.330
O 1.496 1.496 2.602
O 1.496 4.037 2.602
O 2.767 2.767 0.492
O 4.037 1.496 2.602
O 4.037 4.037 2.602
```

Properties
D(E_F)	1.694	states/eV/f.u.
space-group type	P4mm
ΔE_f (raw)	-2.08	eV per atom
total DFT energy (no corrections)	-69.078	eV for the cell shown